No. 1
Al3Ge | meta-GGA SCAN | single point on PBEsol structure

Cell lengths 3.9694, 3.9694, 5.0763 Å; angles 113.02, 113.02, 90.00 degrees
Sites, in units of the cell vectors:
Al (0.5000, 0.5000, 0.0000)
Al (0.2500, 0.7500, 0.5000)
Al (0.7500, 0.2500, 0.5000)
Ge (0.0000, 0.0000, 0.0000)

Energy of formation from the pure elements, eV per atom: 0.075
Volume, Å³/atom: 16.7
Raw total energy, eV per atom: -10.5109

---

No. 2
BaPbN3 | meta-GGA SCAN | single point on PBEsol structure

Cell lengths 4.6081, 4.6081, 4.6081 Å; angles 90.00, 90.00, 90.00 degrees
Last column: magnetic moment on the atom in μB.
Sites, in units of the cell vectors:
Ba (0.0000, 0.0000, 0.0000)  0.02
N (0.0000, 0.5000, 0.0000)  0.66
N (0.0000, 0.0000, 0.5000)  0.66
N (0.5000, 0.0000, 0.0000)  0.66
Pb (0.5000, 0.5000, 0.5000)  -0.12

Formation energy without anion corrections, eV per atom: 1.99
Volume, Å³/atom: 19.6
Raw total energy, eV per atom: -26.6531

---

No. 3
Ba2CuAs | meta-GGA SCAN | single point on PBEsol structure

Cell lengths 3.8577, 4.0525, 7.7662 Å; angles 90.00, 90.00, 90.00 degrees
Sites, in units of the cell vectors:
Cu (0.5000, 0.5000, 0.0000)
Ba (0.0000, 0.0000, 0.7330)
Ba (0.0000, 0.0000, 0.2670)
As (0.5000, 0.5000, 0.5000)

Energy of formation from the pure elements, eV per atom: -0.508
Volume, Å³/atom: 30.4
Raw total energy, eV per atom: -29.1301

---

No. 4
CuReC3 | meta-GGA SCAN | single point on PBEsol structure

Cell lengths 3.6712, 3.6712, 3.6712 Å; angles 90.00, 90.00, 90.00 degrees
Last column: magnetic moment on the atom in μB.
Sites, in units of the cell vectors:
Re (0.5000, 0.5000, 0.5000)  -1.16
Cu (0.0000, 0.0000, 0.0000)  0.02
C (0.5000, 0.0000, 0.0000)  0.06
C (0.0000, 0.5000, 0.0000)  0.06
C (0.0000, 0.0000, 0.5000)  0.06

Energy of formation from the pure elements, eV per atom: 3.026
Volume, Å³/atom: 9.9
Raw total energy, eV per atom: -20.2932